Entry from the Alexandria database: crystalline Sr2CaAg at its relaxed geometry (PBE).

Cell lengths 8.5064, 8.5064, 8.5064 Å; angles 90.00, 90.00, 90.00 degrees
Space group Fm-3m (No. 225)
Inequivalent atoms, fractional coordinates:
1 Sr 0.2500 0.2500 0.2500 x8
2 Ca 0.0000 0.0000 0.0000 x4
3 Ag 0.0000 0.0000 0.5000 x4

Output
- energy relative to the elements (eV/atom) = 0.05



Entry from the Alexandria database: crystalline SrCa2Ag2 at its relaxed geometry (PBE).

Cell lengths 9.0593, 9.0593, 3.5914 Å; angles 90.00, 90.00, 90.00 degrees
Space group P4/mbm (No. 127)
Inequivalent atoms, fractional coordinates:
1 Sr 0.0000 0.0000 0.0000 x2
2 Ca 0.1333 0.3667 0.0000 x4
3 Ag 0.1633 0.6633 0.5000 x4

Output
- energy relative to the elements (eV/atom) = -0.15